# Al2NiO4

An optimized crystal structure of Al2NiO4 (PBE with a Hubbard U, the Alexandria database).

```
data_Al2NiO4
_space_group_name_H-M_alt 'P 1'
_space_group_IT_number 1
_cell_length_a 5.751
_cell_length_b 5.751
_cell_length_c 18.923
_cell_angle_alpha 98.51
_cell_angle_beta 98.51
_cell_angle_gamma 60.26
loop_
_space_group_symop_operation_xyz
'x,y,z'
loop_
_atom_site_label
_atom_site_fract_x
_atom_site_fract_y
_atom_site_fract_z
Al1 0.000 0.000 0.000
Al2 0.218 0.722 0.659
Al3 0.227 0.727 0.158
Al4 0.246 0.246 0.750
Al5 0.455 0.455 0.315
Al6 0.474 0.973 0.908
Al7 0.477 0.981 0.407
Al8 0.501 0.501 0.504
Al9 0.701 0.701 0.067
Al10 0.722 0.218 0.659
Al11 0.727 0.227 0.158
Al12 0.754 0.754 0.250
Al13 0.849 0.849 0.537
Al14 0.947 0.947 0.818
Al15 0.973 0.474 0.908
Al16 0.981 0.477 0.407
Ni1 0.105 0.105 0.283
Ni2 0.192 0.192 0.565
Ni3 0.227 0.227 0.158
Ni4 0.350 0.350 0.033
Ni5 0.473 0.473 0.909
Ni6 0.596 0.596 0.783
Ni7 0.722 0.722 0.659
Ni8 0.980 0.980 0.408
O1 0.017 0.017 0.601
O2 0.031 0.572 0.597
O3 0.032 0.032 0.099
O4 0.049 0.554 0.100
O5 0.143 0.665 0.472
O6 0.147 0.652 0.967
O7 0.163 0.163 0.967
O8 0.175 0.175 0.459
O9 0.278 0.278 0.849
O10 0.296 0.296 0.350
O11 0.296 0.799 0.851
O12 0.308 0.799 0.349
O13 0.393 0.898 0.717
O14 0.406 0.901 0.217
O15 0.407 0.407 0.715
O16 0.422 0.422 0.217
O17 0.527 0.527 0.600
O18 0.539 0.539 0.101
O19 0.554 0.049 0.100
O20 0.572 0.031 0.597
O21 0.652 0.147 0.967
O22 0.665 0.143 0.472
O23 0.669 0.669 0.969
O24 0.672 0.672 0.471
O25 0.784 0.784 0.349
O26 0.784 0.784 0.851
O27 0.799 0.296 0.851
O28 0.799 0.308 0.349
O29 0.898 0.393 0.717
O30 0.901 0.406 0.217
O31 0.915 0.915 0.721
O32 0.917 0.917 0.217
```

Output
Mass density = 4.4 g/cm3
SG = No. 8
Relative energy among the computed polymorphs = 0.38 kJ per mole of atoms